1.
Material: Li2YBi
Method: DFT, PBE-GGA
State: optimized geometry

Properties
Formation energy   -0.251 eV/atom
Total moment   0.0000 μB/atom
N(E_F)   9.68 states/eV per cell
Volume   27.0 A^3/atom

a = 11.5165 Å, b = 11.5165 Å, c = 11.5165 Å
α = 157.92°, β = 157.92°, γ = 31.42°
Fractional positions:
1 Li 0.0880 0.6250 0.9630
2 Li 0.3750 0.3380 0.4630
3 Li 0.6620 0.1250 0.0370
4 Li 0.8750 0.9120 0.5370
5 Y 0.2500 0.7500 0.5000
6 Y 0.5000 0.5000 0.0000
7 Bi 0.0000 0.0000 0.0000
8 Bi 0.7500 0.2500 0.5000


2.
Material: TlSbAs2Pb
Method: DFT, PBE-GGA
State: optimized geometry

Properties
Total moment   0.0000 μB/atom
N(E_F)   4.82 states/eV per cell
Formation energy from raw total energies   0.885 eV/atom
Volume   34.1 A^3/atom

a = 5.4519 Å, b = 5.4519 Å, c = 5.7404 Å
α = 90.00°, β = 90.00°, γ = 90.00°
Fractional positions:
1 Tl 0.0000 0.0000 0.0000
2 Sb 0.5000 0.5000 0.0000
3 As 0.0000 0.5000 0.5000
4 As 0.5000 0.0000 0.5000
5 Pb 0.0000 0.0000 0.5000


3.
Material: Ti3Mo5H12
Method: DFT, PBE-GGA
State: optimized geometry

Properties
Total moment   0.0000 μB/atom
E   -483.371 eV/cell
N(E_F)   31.19 states/eV per cell
Volume   8.0 A^3/atom

a = 9.4109 Å, b = 9.4109 Å, c = 9.4109 Å
α = 109.47°, β = 109.47°, γ = 109.47°
Fractional positions:
1 Ti 0.1250 0.2500 0.3750
2 Ti 0.1250 0.3750 0.7500
3 Ti 0.2500 0.3750 0.1250
4 Ti 0.2500 0.8750 0.6250
5 Ti 0.3750 0.1250 0.2500
6 Ti 0.3750 0.7500 0.1250
7 Ti 0.6250 0.2500 0.8750
8 Ti 0.6250 0.8750 0.7500
9 Ti 0.7500 0.1250 0.3750
10 Ti 0.7500 0.6250 0.8750
11 Ti 0.8750 0.6250 0.2500
12 Ti 0.8750 0.7500 0.6250
13 Mo 0.0000 0.0000 0.0000
14 Mo 0.0000 0.0000 0.5000
15 Mo 0.0000 0.5000 0.0000
16 Mo 0.0000 0.5000 0.5000
17 Mo 0.1250 0.7500 0.8750
18 Mo 0.1250 0.8750 0.2500
19 Mo 0.2500 0.1250 0.8750
20 Mo 0.2500 0.6250 0.3750
21 Mo 0.3750 0.2500 0.6250
22 Mo 0.3750 0.6250 0.7500
23 Mo 0.5000 0.0000 0.0000
24 Mo 0.5000 0.0000 0.5000
25 Mo 0.5000 0.5000 0.0000
26 Mo 0.5000 0.5000 0.5000
27 Mo 0.6250 0.3750 0.2500
28 Mo 0.6250 0.7500 0.3750
29 Mo 0.7500 0.3750 0.6250
30 Mo 0.7500 0.8750 0.1250
31 Mo 0.8750 0.1250 0.7500
32 Mo 0.8750 0.2500 0.1250
33 H 0.0651 0.2259 0.1453
34 H 0.0651 0.3392 0.9198
35 H 0.0802 0.6453 0.4194
36 H 0.0802 0.9349 0.6608
37 H 0.0806 0.7259 0.6608
38 H 0.0806 0.8547 0.4198
39 H 0.1453 0.0651 0.2259
40 H 0.1453 0.5802 0.9194
41 H 0.1608 0.2259 0.5806
42 H 0.1608 0.4349 0.5802
43 H 0.2259 0.1453 0.0651
44 H 0.2259 0.5806 0.1608
45 H 0.2741 0.3392 0.9194
46 H 0.2741 0.4349 0.3547
47 H 0.3392 0.9194 0.2741
48 H 0.3392 0.9198 0.0651
49 H 0.3547 0.2741 0.4349
50 H 0.3547 0.5806 0.9198
51 H 0.4194 0.0802 0.6453
52 H 0.4194 0.8392 0.7741
53 H 0.4198 0.0806 0.8547
54 H 0.4198 0.8392 0.5651
55 H 0.4349 0.3547 0.2741
56 H 0.4349 0.5802 0.1608
57 H 0.5651 0.4198 0.8392
58 H 0.5651 0.6453 0.7259
59 H 0.5802 0.1608 0.4349
60 H 0.5802 0.9194 0.1453
61 H 0.5806 0.1608 0.2259
62 H 0.5806 0.9198 0.3547
63 H 0.6453 0.4194 0.0802
64 H 0.6453 0.7259 0.5651
65 H 0.6608 0.0802 0.9349
66 H 0.6608 0.0806 0.7259
67 H 0.7259 0.5651 0.6453
68 H 0.7259 0.6608 0.0806
69 H 0.7741 0.4194 0.8392
70 H 0.7741 0.8547 0.9349
71 H 0.8392 0.5651 0.4198
72 H 0.8392 0.7741 0.4194
73 H 0.8547 0.4198 0.0806
74 H 0.8547 0.9349 0.7741
75 H 0.9194 0.1453 0.5802
76 H 0.9194 0.2741 0.3392
77 H 0.9198 0.0651 0.3392
78 H 0.9198 0.3547 0.5806
79 H 0.9349 0.6608 0.0802
80 H 0.9349 0.7741 0.8547


4.
Material: TaGaAgW2
Method: DFT, PBE-GGA
State: optimized geometry

Properties
Formation energy   2.135 eV/atom
Total moment   0.0000 μB/atom
N(E_F)   3.06 states/eV per cell
Volume   20.7 A^3/atom

a = 4.8822 Å, b = 4.8822 Å, c = 4.3451 Å
α = 90.00°, β = 90.00°, γ = 90.00°
Fractional positions:
1 Ta 0.0000 0.0000 0.0000
2 Ga 0.5000 0.5000 0.0000
3 Ag 0.5000 0.5000 0.5000
4 W 0.0000 0.5000 0.5000
5 W 0.5000 0.0000 0.5000